An optimized crystal structure of Rb11BrO5, computed with PBE.

```
data_Rb11BrO5
_chemical_formula_sum 'Rb11 Br1 O5'
_symmetry_space_group_name_H-M 'P 1'
_symmetry_Int_Tables_number 1
_cell_length_a 8.8789
_cell_length_b 8.8789
_cell_length_c 9.0420
_cell_angle_alpha 100.94
_cell_angle_beta 100.94
_cell_angle_gamma 113.78
loop_
_symmetry_equiv_pos_as_xyz
'x,y,z'
loop_
_atom_site_label
_atom_site_type_symbol
_atom_site_fract_x
_atom_site_fract_y
_atom_site_fract_z
Rb1 Rb 0.0000 0.0000 0.0000
Rb2 Rb 0.1186 0.7009 0.1471
Rb3 Rb 0.1621 0.4105 0.4572
Rb4 Rb 0.2991 0.8814 0.8529
Rb5 Rb 0.3908 0.3908 0.1718
Rb6 Rb 0.4105 0.1621 0.4572
Rb7 Rb 0.5895 0.8379 0.5428
Rb8 Rb 0.6092 0.6092 0.8282
Rb9 Rb 0.7009 0.1186 0.1471
Rb10 Rb 0.8379 0.5895 0.5428
Rb11 Rb 0.8814 0.2991 0.8529
Br1 Br 0.0000 0.0000 0.5000
O1 O 0.0607 0.3609 0.1516
O2 O 0.3609 0.0607 0.1516
O3 O 0.5000 0.5000 0.5000
O4 O 0.6391 0.9393 0.8484
O5 O 0.9393 0.6391 0.8484
```

Total magnetic moment   0.4 μB/f.u.
Formation energy from raw total energies   -980 meV per atom
Space group   C2/m, No. 12